# 1
Compound: BaLi5Mg
Source: Alexandria via LeMat-Bulk
Functional: PBE
Structure: relaxed

a b c (Å): 4.202 4.202 10.781
angles (deg): 90.00 90.00 90.00
Sites, in units of the cell vectors:
Ba 0.000 0.000 0.000
Li 0.000 0.000 0.500
Li 0.000 0.500 0.291
Li 0.000 0.500 0.709
Li 0.500 0.000 0.291
Li 0.500 0.000 0.709
Mg 0.500 0.500 0.500

Summary:
N(E_F) ... 4.74 states/eV per cell
Symmetry ... P4/mmm, No. 123
Energy of formation from the pure elements ... 42 meV/atom

=====

# 2
Compound: BaLi2Mg3
Source: Alexandria via LeMat-Bulk
Functional: PBE
Structure: relaxed

a b c (Å): 5.081 5.081 15.595
angles (deg): 90.00 90.00 120.00
Sites, in units of the cell vectors:
Ba 0.000 0.000 0.250
Ba 0.000 0.000 0.750
Li 0.333 0.667 0.099
Li 0.333 0.667 0.401
Li 0.667 0.333 0.599
Li 0.667 0.333 0.901
Mg 0.000 0.000 0.000
Mg 0.000 0.000 0.500
Mg 0.333 0.667 0.582
Mg 0.333 0.667 0.918
Mg 0.667 0.333 0.082
Mg 0.667 0.333 0.418

Summary:
N(E_F) ... 6.57 states/eV per cell
Symmetry ... P6_3/mmc, No. 194
Energy of formation from the pure elements ... -10 meV/atom

=====

# 3
Compound: Ba2LiMg
Source: Alexandria via LeMat-Bulk
Functional: PBE
Structure: relaxed

a b c (Å): 3.808 6.391 14.040
angles (deg): 90.00 90.00 90.00
Sites, in units of the cell vectors:
Ba 0.000 0.000 0.232
Ba 0.000 0.000 0.768
Ba 0.500 0.500 0.268
Ba 0.500 0.500 0.732
Li 0.000 0.000 0.000
Li 0.500 0.500 0.500
Mg 0.000 0.000 0.500
Mg 0.500 0.500 0.000

Summary:
N(E_F) ... 10.32 states/eV per cell
Symmetry ... Immm, No. 71
Energy of formation from the pure elements ... 444 meV/atom

=====

# 4
Compound: Ba8Li2Mg
Source: Alexandria via LeMat-Bulk
Functional: PBE
Structure: relaxed

a b c (Å): 10.417 10.417 10.417
angles (deg): 144.71 118.06 73.34
Sites, in units of the cell vectors:
Ba 0.125 0.345 0.780
Ba 0.130 0.130 0.000
Ba 0.323 0.000 0.323
Ba 0.435 0.655 0.780
Ba 0.565 0.345 0.220
Ba 0.677 0.000 0.677
Ba 0.870 0.870 0.000
Ba 0.875 0.655 0.220
Li 0.299 0.799 0.500
Li 0.701 0.201 0.500
Mg 0.000 0.500 0.500

Summary:
N(E_F) ... 14.80 states/eV per cell
Symmetry ... Immm, No. 71
Energy of formation from the pure elements ... 75 meV/atom